[1]
Crystalline NaPb2C2O6 at its relaxed geometry, computed with PBE.

Lattice parameters (Å, degrees): 5.328 5.377 8.969 121.77 90.00 119.70
Last column: magnetic moment on the atom in μB.
Element x y z (fractional)
Na 0.500 0.000 0.500  0.00
Pb 0.669 0.337 0.230  -0.20
Pb 0.331 0.663 0.770  -0.20
C 0.958 0.917 0.720  -0.01
C 0.042 0.083 0.280  -0.01
O 0.821 0.642 0.724  -0.01
O 0.185 0.946 0.280  -0.01
O 0.239 0.054 0.720  -0.01
O 0.815 0.054 0.720  -0.01
O 0.761 0.946 0.280  -0.01
O 0.179 0.358 0.276  -0.01

Calculated values
mass density = 5.2 g cm⁻³
SG = C2/m, No. 12
formation energy (no corrections) = -1.3399 eV/atom
Fermi-level density of states = 0.37 states/eV per cell



[2]
Crystalline TaTiTc2P at its relaxed geometry, computed with PBE.

Lattice parameters (Å, degrees): 4.454 4.814 4.454 90.00 90.00 90.00
Element x y z (fractional)
P 0.500 0.500 0.500
Ti 0.000 0.000 0.000
Tc 0.000 0.000 0.500
Tc 0.500 0.000 0.000
Ta 0.000 0.500 0.000

Calculated values
mass density = 7.9 g cm⁻³
ΔH_f (0 K) = 1.535 eV per atom
SG = P4/mmm, No. 123
Fermi-level density of states = 4.59 states/eV per cell



Total energy across the listed records, respectively: -6.516, -7.643 eV/atom.